A plane-wave DFT calculation with GGA+U was carried out for crystalline TlCrHgF2 at its relaxed geometry.

Values from the calculation:
The uncorrected energy is -3.332 eV per atom. Its crystal system is tetragonal. As for the space-group type: P4/mmm, No. 123. The distance to the lowest polymorph of the same formula comes out at 0.801 eV per atom.

The structure in POSCAR format:
```
TlCrHgF2
1.0
4.657 0.000 0.000
0.000 5.530 0.000
0.000 0.000 4.657
Tl F Hg Cr
1 2 1 1
Cartesian
2.328 2.765 2.328
2.328 0.000 0.000
0.000 0.000 2.328
0.000 0.000 0.000
0.000 2.765 0.000
```